This record from the Alexandria database describes CrTeO2 after structural relaxation. The functional is PBE with a Hubbard U.

abc: 3.1646 3.1646 19.3657
angles: 90.00 90.00 120.00
Space group R-3m (No. 166, hexagonal axes)
Symmetry-distinct sites (fractional):
Cr1 0.0000 0.0000 0.0000 [3 per cell]
Te1 0.0000 0.0000 0.5000 [3 per cell]
O1 0.0000 0.0000 0.3839 [6 per cell]

Calculated values
**Electronic total energy**: -6.34 eV per atom